A plane-wave DFT calculation with GGA-PBE was carried out for Ce2TmGa2Cu2 after structural relaxation.

Values from the calculation:
DOS(E_F) in states/eV/atom: 1.245
Calculated formation energy in eV per atom: -0.409
Total moment in μB/f.u.: 0.74

```
data_Ce2TmGa2Cu2
_chemical_formula_sum 'Ce6 Tm3 Ga6 Cu6'
_cell_length_a 4.2896
_cell_length_b 4.2896
_cell_length_c 26.2215
_cell_angle_alpha 90.00
_cell_angle_beta 90.00
_cell_angle_gamma 120.00
_space_group_name_H-M_alt 'R -3 m'
_space_group_IT_number 166
_space_group_name_Hall '-R 3 2"'
loop_
_atom_site_label
_atom_site_type_symbol
_atom_site_fract_x
_atom_site_fract_y
_atom_site_fract_z
_atom_site_occupancy
Ce1 Ce 0.0000 0.0000 0.1389 1
Tm1 Tm 0.0000 0.0000 0.0000 1
Ga1 Ga 0.0000 0.0000 0.2648 1
Cu1 Cu 0.0000 0.0000 0.4008 1
```

A plane-wave DFT calculation with GGA-PBE was carried out for CeYGaCu after structural relaxation.

Values from the calculation:
DOS(E_F) in states/eV/atom: 2.071
Calculated formation energy in eV per atom: -0.313
Total moment in μB/f.u.: 0.99

```
data_CeYGaCu
_chemical_formula_sum 'Ce4 Y4 Ga4 Cu4'
_cell_length_a 7.157
_cell_length_b 7.157
_cell_length_c 7.157
_cell_angle_alpha 90.00
_cell_angle_beta 90.00
_cell_angle_gamma 90.00
_space_group_name_H-M_alt 'F -4 3 m'
_space_group_IT_number 216
_space_group_name_Hall 'F -4 2 3'
loop_
_atom_site_label
_atom_site_type_symbol
_atom_site_fract_x
_atom_site_fract_y
_atom_site_fract_z
_atom_site_occupancy
Ce1 Ce 0.000 0.000 0.000 1
Y1 Y 0.000 0.000 0.500 1
Ga1 Ga 0.250 0.250 0.750 1
Cu1 Cu 0.250 0.250 0.250 1
```

A plane-wave DFT calculation with GGA-PBE was carried out for CeZn2GaCu2 after structural relaxation.

Values from the calculation:
DOS(E_F) in states/eV/atom: 1.688
Calculated formation energy in eV per atom: 0.024
Total moment in μB/f.u.: 1.35

```
data_CeZn2GaCu2
_chemical_formula_sum 'Ce1 Zn2 Ga1 Cu2'
_cell_length_a 4.478
_cell_length_b 4.478
_cell_length_c 5.743
_cell_angle_alpha 90.00
_cell_angle_beta 90.00
_cell_angle_gamma 90.00
_space_group_name_H-M_alt 'P 4/m m m'
_space_group_IT_number 123
_space_group_name_Hall '-P 4 2'
loop_
_atom_site_label
_atom_site_type_symbol
_atom_site_fract_x
_atom_site_fract_y
_atom_site_fract_z
_atom_site_occupancy
Ce1 Ce 0.000 0.000 0.000 1
Zn1 Zn 0.500 0.500 0.236 1
Ga1 Ga 0.000 0.000 0.500 1
Cu1 Cu 0.000 0.500 0.500 1
```

A plane-wave DFT calculation with GGA-PBE was carried out for CeZn8Ga2Cu after structural relaxation.

Values from the calculation:
DOS(E_F) in states/eV/atom: 0.631
Calculated formation energy in eV per atom: -0.090
Total moment in μB/f.u.: 0.72

```
data_CeZn8Ga2Cu
_chemical_formula_sum 'Ce2 Zn16 Ga4 Cu2'
_cell_length_a 7.470
_cell_length_b 4.919
_cell_length_c 11.579
_cell_angle_alpha 90.00
_cell_angle_beta 101.22
_cell_angle_gamma 90.00
_space_group_name_H-M_alt 'C 1 2/m 1'
_space_group_IT_number 12
_space_group_name_Hall '-C 2y'
loop_
_atom_site_label
_atom_site_type_symbol
_atom_site_fract_x
_atom_site_fract_y
_atom_site_fract_z
_atom_site_occupancy
Ce1 Ce 0.000 0.000 0.000 1
Zn1 Zn 0.048 0.248 0.319 1
Zn2 Zn 0.172 0.500 0.537 1
Zn3 Zn 0.241 0.500 0.174 1
Ga1 Ga 0.122 0.500 0.869 1
Cu1 Cu 0.000 0.000 0.500 1
```

A plane-wave DFT calculation with GGA-PBE was carried out for Ce2ZnGaCu6 after structural relaxation.

Values from the calculation:
DOS(E_F) in states/eV/atom: 1.990
Calculated formation energy in eV per atom: 0.156
Total moment in μB/f.u.: 2.19

```
data_Ce2ZnGaCu6
_chemical_formula_sum 'Ce8 Zn4 Ga4 Cu24'
_cell_length_a 9.165
_cell_length_b 9.165
_cell_length_c 9.165
_cell_angle_alpha 90.00
_cell_angle_beta 90.00
_cell_angle_gamma 90.00
_space_group_name_H-M_alt 'F m -3 m'
_space_group_IT_number 225
_space_group_name_Hall '-F 4 2 3'
loop_
_atom_site_label
_atom_site_type_symbol
_atom_site_fract_x
_atom_site_fract_y
_atom_site_fract_z
_atom_site_occupancy
Ce1 Ce 0.250 0.250 0.250 1
Zn1 Zn 0.000 0.000 0.000 1
Ga1 Ga 0.000 0.000 0.500 1
Cu1 Cu 0.000 0.000 0.249 1
```

A plane-wave DFT calculation with GGA-PBE was carried out for CeZn2GaCu4 after structural relaxation.

Values from the calculation:
DOS(E_F) in states/eV/atom: 0.869
Calculated formation energy in eV per atom: -0.104
Total moment in μB/f.u.: 0.60

```
data_CeZn2GaCu4
_chemical_formula_sum 'Ce3 Zn6 Ga3 Cu12'
_cell_length_a 4.1892
_cell_length_b 4.1892
_cell_length_c 25.5027
_cell_angle_alpha 90.00
_cell_angle_beta 90.00
_cell_angle_gamma 120.00
_space_group_name_H-M_alt 'R -3 m'
_space_group_IT_number 166
_space_group_name_Hall '-R 3 2"'
loop_
_atom_site_label
_atom_site_type_symbol
_atom_site_fract_x
_atom_site_fract_y
_atom_site_fract_z
_atom_site_occupancy
Ce1 Ce 0.0000 0.0000 0.0000 1
Zn1 Zn 0.0000 0.0000 0.2427 1
Ga1 Ga 0.0000 0.0000 0.5000 1
Cu1 Cu 0.0000 0.0000 0.1308 1
Cu2 Cu 0.0000 0.0000 0.4035 1
```